Record 1
Sc3Al | GGA-PBEsol | optimized geometry

a = 4.965 Å, b = 5.656 Å, c = 6.193 Å
α = 90.00°, β = 90.00°, γ = 90.00°
Sites, in units of the cell vectors:
Al  0.500  0.666  0.500
Al  0.000  0.334  0.000
Sc  0.000  0.839  0.746
Sc  0.500  0.161  0.246
Sc  0.500  0.161  0.754
Sc  0.500  0.633  0.000
Sc  0.000  0.839  0.254
Sc  0.000  0.367  0.500

Computed properties:
- density (g/cm3) = 3.09
- Fermi-level density of states (states/eV per cell) = 10.941
- electronic total energy (eV/f.u.) = -24.91



Record 2
Sc3Al | GGA-PBEsol | optimized geometry

a = 4.366 Å, b = 4.366 Å, c = 4.366 Å
α = 90.00°, β = 90.00°, γ = 90.00°
Sites, in units of the cell vectors:
Sc  0.500  0.500  0.000
Sc  0.000  0.500  0.500
Sc  0.500  0.000  0.500
Al  0.000  0.000  0.000

Computed properties:
- density (g/cm3) = 3.23
- Fermi-level density of states (states/eV per cell) = 5.265
- electronic total energy (eV/f.u.) = -24.94



Record 3
Sc2Al | GGA-PBEsol | optimized geometry

a = 3.350 Å, b = 4.790 Å, c = 7.794 Å
α = 90.00°, β = 102.41°, γ = 90.00°
Sites, in units of the cell vectors:
Sc  0.773  0.750  0.545
Sc  0.913  0.250  0.825
Sc  0.227  0.250  0.455
Sc  0.087  0.750  0.175
Al  0.570  0.250  0.141
Al  0.430  0.750  0.859

Computed properties:
- density (g/cm3) = 3.18
- Fermi-level density of states (states/eV per cell) = 6.027
- electronic total energy (eV/f.u.) = -18.26



Please write out number 3 again, unchanged.
Sc2Al | GGA-PBEsol | optimized geometry

a = 3.350 Å, b = 4.790 Å, c = 7.794 Å
α = 90.00°, β = 102.41°, γ = 90.00°
Sites, in units of the cell vectors:
Sc  0.773  0.750  0.545
Sc  0.913  0.250  0.825
Sc  0.227  0.250  0.455
Sc  0.087  0.750  0.175
Al  0.570  0.250  0.141
Al  0.430  0.750  0.859

Computed properties:
- density (g/cm3) = 3.18
- Fermi-level density of states (states/eV per cell) = 6.027
- electronic total energy (eV/f.u.) = -18.26



- Fermi-level density of states of number 2 (Sc3Al)?
  5.265 states/eV per cell



- Which value of density does entry 3 give?
  3.18 g/cm3